1.
The following is a PBE-GGA calculation of crystalline Nd2GaSn4 at its relaxed geometry, from Alexandria via LeMat-Bulk.

The space group is P-4m2 (No. 115) and the conventional cell measures 4.5177, 4.5177 and 9.4795 Å, with angles of 90.00, 90.00 and 90.00 degrees. The inequivalent atoms are Nd at (0.0000, 0.5000, 0.2319), Ga at (0.5000, 0.5000, 0.0000), Sn at (0.0000, 0.0000, 0.5000), Sn at (0.0000, 0.5000, 0.8223) and Sn at (0.5000, 0.5000, 0.5000).

Its formation energy is -0.4725 eV per atom.


2.
The following is a PBE-GGA calculation of crystalline NdGaSn4 at its relaxed geometry, from Alexandria via LeMat-Bulk.

The space group is F-43m (No. 216) and the conventional cell measures 8.7271, 8.7271 and 8.7271 Å, with angles of 90.00, 90.00 and 90.00 degrees. The inequivalent atoms are Nd at (0.0000, 0.0000, 0.0000), Ga at (0.2500, 0.2500, 0.7500) and Sn at (0.1249, 0.1249, 0.3751).

Its formation energy is -0.1529 eV per atom.


3.
The following is a PBE-GGA calculation of crystalline NdGaSn2 at its relaxed geometry, from Alexandria via LeMat-Bulk.

The space group is I4/mmm (No. 139) and the conventional cell measures 4.4810, 4.4810 and 10.0059 Å, with angles of 90.00, 90.00 and 90.00 degrees. The inequivalent atoms are Nd at (0.0000, 0.0000, 0.0000), Ga at (0.0000, 0.0000, 0.5000) and Sn at (0.0000, 0.5000, 0.2500).

Its formation energy is -0.5147 eV per atom.


4.
The following is a PBE-GGA calculation of crystalline Nd3GaSn2 at its relaxed geometry, from Alexandria via LeMat-Bulk.

The space group is Pnma (No. 62) and the conventional cell measures 12.6329, 4.5120 and 12.2816 Å, with angles of 90.00, 90.00 and 90.00 degrees. The inequivalent atoms are Nd at (0.0522, 0.2500, 0.1216), Nd at (0.1230, 0.7500, 0.5582), Nd at (0.2156, 0.2500, 0.7967), Ga at (0.1337, 0.2500, 0.3648), Sn at (0.0119, 0.7500, 0.3115) and Sn at (0.1890, 0.7500, 0.0035).

Its formation energy is -0.6907 eV per atom.


5.
The following is a PBE-GGA calculation of crystalline NdGaSn2 at its relaxed geometry, from Alexandria via LeMat-Bulk.

The space group is R-3m (No. 166, hexagonal axes) and the conventional cell measures 5.2216, 5.2216 and 22.1064 Å, with angles of 90.00, 90.00 and 120.00 degrees. The inequivalent atoms are Nd at (0.0000, 0.0000, 0.0000), Ga at (0.0000, 0.0000, 0.5000) and Sn at (0.0000, 0.0000, 0.3811).

Its formation energy is 0.2596 eV per atom.


6.
The following is a PBE-GGA calculation of crystalline Nd4Ga2Sn at its relaxed geometry, from Alexandria via LeMat-Bulk.

The space group is Fddd (No. 70, origin choice 2) and the conventional cell measures 9.5524, 13.6941 and 13.7619 Å, with angles of 90.00, 90.00 and 90.00 degrees. The inequivalent atoms are Nd at (0.0613, 0.2849, 0.4642), Ga at (0.0000, 0.0000, 0.0000) and Sn at (0.1250, 0.1250, 0.6250).

Its formation energy is -0.3850 eV per atom.


7.
The following is a PBE-GGA calculation of crystalline Nd2GaSn4 at its relaxed geometry, from Alexandria via LeMat-Bulk.

The space group is C2/m (No. 12) and the conventional cell measures 9.0190, 8.9870 and 6.6323 Å, with angles of 90.00, 132.72 and 90.00 degrees. The inequivalent atoms are Nd at (0.2500, 0.2500, 0.0000), Ga at (0.0000, 0.0000, 0.0000), Sn at (0.0000, 0.0000, 0.5000), Sn at (0.0000, 0.5000, 0.5000) and Sn at (0.2500, 0.2500, 0.5000).

Its formation energy is -0.4883 eV per atom.


8.
The following is a PBE-GGA calculation of crystalline Nd2Ga6Sn at its relaxed geometry, from Alexandria via LeMat-Bulk.

The space group is P-3m1 (No. 164) and the conventional cell measures 6.1644, 6.1644 and 5.8685 Å, with angles of 90.00, 90.00 and 120.00 degrees. The inequivalent atoms are Nd at (0.3333, 0.6667, 0.3620), Ga at (0.1872, 0.3744, 0.8487) and Sn at (0.0000, 0.0000, 0.5000).

Its formation energy is -0.4490 eV per atom.


9.
The following is a PBE-GGA calculation of crystalline Nd5GaSn4 at its relaxed geometry, from Alexandria via LeMat-Bulk.

The space group is Pmmn (No. 59, origin choice 2) and the conventional cell measures 7.2176, 9.6273 and 9.1050 Å, with angles of 90.00, 90.00 and 90.00 degrees. The inequivalent atoms are Nd at (0.0098, 0.0437, 0.2242), Nd at (0.2500, 0.2500, 0.5699), Ga at (0.2500, 0.7500, 0.2500), Sn at (0.0402, 0.2500, 0.9443) and Sn at (0.2500, 0.5805, 0.4960).

Its formation energy is -0.3483 eV per atom.


10.
The following is a PBE-GGA calculation of crystalline NdGa2Sn at its relaxed geometry, from Alexandria via LeMat-Bulk.

The space group is R-3m (No. 166, hexagonal axes) and the conventional cell measures 4.6860, 4.6860 and 15.3178 Å, with angles of 90.00, 90.00 and 120.00 degrees. The inequivalent atoms are Nd at (0.0000, 0.0000, 0.0000), Ga at (0.0000, 0.0000, 0.2260) and Sn at (0.0000, 0.0000, 0.5000).

Its formation energy is -0.3264 eV per atom.


One value per record, in order, for uncorrected energy: -0.16737; -0.15143; -0.16408; -0.18056; -0.13562; -0.16707; -0.16795; -0.14594; -0.17037; -0.14819 hartree per atom.